The following is a PBE calculation of SbPb5 after structural relaxation, from Alexandria via LeMat-Bulk.

Summary:
* formation energy without anion corrections: 0.050 eV/atom
* offset from the most stable computed form: 0.020 eV per atom
* uncorrected energy: -3.7277 eV per atom

Cell: 5.797 10.717 5.980 Å, 90.00 90.00 90.00°
Space group Cmmm (No. 65)
Asymmetric unit:
1 Sb 0.000 0.000 0.000 x2
2 Pb 0.000 0.163 0.500 x4
3 Pb 0.000 0.338 0.000 x4
4 Pb 0.000 0.500 0.500 x2

The following is a PBE calculation of SbPb after structural relaxation, from Alexandria via LeMat-Bulk.

Summary:
* formation energy without anion corrections: 0.099 eV/atom
* uncorrected energy: -3.8164 eV per atom

Cell: 12.612 3.583 8.519 Å, 90.00 109.78 90.00°
Space group Cm (No. 8)
Asymmetric unit:
1 Sb 0.000 0.000 0.000 x2
2 Sb 0.020 0.000 0.618 x2
3 Sb 0.168 0.500 0.308 x2
4 Pb 0.205 0.500 0.937 x2
5 Pb 0.305 0.000 0.645 x2
6 Pb 0.404 0.000 0.280 x2

The following is a PBE calculation of SbPb after structural relaxation, from Alexandria via LeMat-Bulk.

Summary:
* formation energy without anion corrections: 0.041 eV/atom
* uncorrected energy: -3.8748 eV per atom

Cell: 4.614 4.736 6.485 Å, 108.16 107.17 92.66°
Space group P1 (No. 1)
Asymmetric unit:
1 Sb 0.000 0.000 0.000 x1
2 Sb 0.073 0.630 0.568 x1
3 Pb 0.518 0.502 0.034 x1
4 Pb 0.553 0.098 0.504 x1

The following is a PBE calculation of Sb2Pb3 after structural relaxation, from Alexandria via LeMat-Bulk.

Summary:
* formation energy without anion corrections: 0.088 eV/atom
* offset from the most stable computed form: 0.085 eV per atom
* uncorrected energy: -3.7863 eV per atom

Cell: 8.3703 8.3703 17.1385 Å, 90.00 90.00 120.00°
Space group R-3c (No. 167, hexagonal axes)
Asymmetric unit:
1 Sb 0.0000 0.0000 0.1079 x12
2 Pb 0.0000 0.2552 0.2500 x18

The following is a PBE calculation of SbPb after structural relaxation, from Alexandria via LeMat-Bulk.

Summary:
* formation energy without anion corrections: 0.137 eV/atom
* uncorrected energy: -3.7780 eV per atom

Cell: 3.4997 3.4997 11.1241 Å, 90.00 90.00 120.00°
Space group P-3m1 (No. 164)
Asymmetric unit:
1 Sb 0.3333 0.6667 0.1134 x2
2 Pb 0.3333 0.6667 0.6350 x2

The following is a PBE calculation of Sb3Pb after structural relaxation, from Alexandria via LeMat-Bulk.

Summary:
* formation energy without anion corrections: 0.201 eV/atom
* offset from the most stable computed form: 0.146 eV per atom
* uncorrected energy: -3.8177 eV per atom

Cell: 3.3714 3.3714 11.5694 Å, 90.00 90.00 120.00°
Space group P-6m2 (No. 187)
Asymmetric unit:
1 Sb 0.0000 0.0000 0.0000 x1
2 Sb 0.6667 0.3333 0.2425 x2
3 Pb 0.0000 0.0000 0.5000 x1

The following is a PBE calculation of Sb3Pb after structural relaxation, from Alexandria via LeMat-Bulk.

Summary:
* formation energy without anion corrections: 0.211 eV/atom
* offset from the most stable computed form: 0.155 eV per atom
* uncorrected energy: -3.8081 eV per atom

Cell: 3.3772 3.3772 34.6936 Å, 90.00 90.00 120.00°
Space group R-3m (No. 166, hexagonal axes)
Asymmetric unit:
1 Sb 0.0000 0.0000 0.0000 x3
2 Sb 0.0000 0.0000 0.2538 x6
3 Pb 0.0000 0.0000 0.5000 x3

The following is a PBE calculation of SbPb2 after structural relaxation, from Alexandria via LeMat-Bulk.

Summary:
* formation energy without anion corrections: 0.055 eV/atom
* offset from the most stable computed form: 0.031 eV per atom
* uncorrected energy: -3.7911 eV per atom

Cell: 8.6892 8.6892 4.4279 Å, 90.00 90.00 120.00°
Space group P-62m (No. 189)
Asymmetric unit:
1 Sb 0.0000 0.0000 0.0000 x1
2 Sb 0.3333 0.6667 0.5000 x2
3 Pb 0.0000 0.2675 0.5000 x3
4 Pb 0.0000 0.5915 0.0000 x3

The following is a PBE calculation of Sb3Pb after structural relaxation, from Alexandria via LeMat-Bulk.

Summary:
* formation energy without anion corrections: 0.211 eV/atom
* offset from the most stable computed form: 0.156 eV per atom
* uncorrected energy: -3.8074 eV per atom

Cell: 3.495 4.940 6.697 Å, 90.00 90.00 90.00°
Space group Pmmm (No. 47)
Asymmetric unit:
1 Sb 0.000 0.000 0.000 x1
2 Sb 0.500 0.500 0.227 x2
3 Pb 0.000 0.000 0.500 x1

The following is a PBE calculation of SbPb after structural relaxation, from Alexandria via LeMat-Bulk.

Summary:
* formation energy without anion corrections: 0.079 eV/atom
* uncorrected energy: -3.8364 eV per atom

Cell: 6.364 6.364 6.364 Å, 90.00 90.00 90.00°
Space group Fm-3m (No. 225)
Asymmetric unit:
1 Sb 0.000 0.000 0.000 x4
2 Pb 0.000 0.000 0.500 x4

The following is a PBE calculation of SbPb after structural relaxation, from Alexandria via LeMat-Bulk.

Summary:
* formation energy without anion corrections: 0.272 eV/atom
* uncorrected energy: -3.6429 eV per atom

Cell: 8.644 8.644 8.644 Å, 90.00 90.00 90.00°
Space group Pm-3n (No. 223)
Asymmetric unit:
1 Sb 0.000 0.250 0.500 x6
2 Pb 0.000 0.500 0.250 x6

The following is a PBE calculation of Sb2Pb13 after structural relaxation, from Alexandria via LeMat-Bulk.

Summary:
* formation energy without anion corrections: 0.158 eV/atom
* offset from the most stable computed form: 0.123 eV per atom
* uncorrected energy: -3.6056 eV per atom

Cell: 8.8218 8.8218 24.5166 Å, 90.00 90.00 120.00°
Space group R-3m (No. 166, hexagonal axes)
Asymmetric unit:
1 Sb 0.0000 0.0000 0.1338 x6
2 Pb 0.0000 0.0000 0.0000 x3
3 Pb 0.0636 0.5318 0.4254 x18
4 Pb 0.0801 0.5401 0.2883 x18